Entry 1:
Zn4CuPt5 | GGA-PBE | optimized geometry

Geometry as CIF:
```
data_Zn4CuPt5
_symmetry_space_group_name_H-M 'P 4/m m m'
_symmetry_Int_Tables_number 123
_symmetry_space_group_name_Hall '-P 4 2'
_cell_length_a 2.882
_cell_length_b 2.882
_cell_length_c 17.445
_cell_angle_alpha 90.00
_cell_angle_beta 90.00
_cell_angle_gamma 90.00
loop_
_atom_site_label
_atom_site_fract_x
_atom_site_fract_y
_atom_site_fract_z
Zn1 0.000 0.000 0.101
Zn2 0.000 0.000 0.303
Cu1 0.000 0.000 0.500
Pt1 0.500 0.500 0.000
Pt2 0.500 0.500 0.202
Pt3 0.500 0.500 0.402
```

DOS(E_F): 1.99 states/eV per cell
energy of formation from the pure elements: -4.93 eV/f.u.
DFT total energy: -4.43 eV per atom
total moment: 0.00 μB per atom

---

Entry 2:
Zn2Cu3Pt | GGA-PBE | optimized geometry

Geometry as CIF:
```
data_Zn2Cu3Pt
_symmetry_space_group_name_H-M 'P n m a'
_symmetry_Int_Tables_number 62
_symmetry_space_group_name_Hall '-P 2ac 2n'
_cell_length_a 7.573
_cell_length_b 3.660
_cell_length_c 11.590
_cell_angle_alpha 90.00
_cell_angle_beta 90.00
_cell_angle_gamma 90.00
loop_
_atom_site_label
_atom_site_fract_x
_atom_site_fract_y
_atom_site_fract_z
Zn1 0.001 0.250 0.245
Zn2 0.247 0.750 0.926
Cu1 0.002 0.250 0.916
Cu2 0.243 0.250 0.083
Cu3 0.248 0.250 0.747
Pt1 0.005 0.750 0.406
```

DOS(E_F): 6.71 states/eV per cell
energy of formation from the pure elements: -1.15 eV/f.u.
DFT total energy: -3.67 eV per atom
total moment: 0.00 μB per atom

---

Entry 3:
ZnCu4Pt3 | GGA-PBE | optimized geometry

Geometry as CIF:
```
data_ZnCu4Pt3
_symmetry_space_group_name_H-M 'C 1 2/m 1'
_symmetry_Int_Tables_number 12
_symmetry_space_group_name_Hall '-C 2y'
_cell_length_a 17.225
_cell_length_b 2.772
_cell_length_c 4.644
_cell_angle_alpha 90.00
_cell_angle_beta 94.45
_cell_angle_gamma 90.00
loop_
_atom_site_label
_atom_site_fract_x
_atom_site_fract_y
_atom_site_fract_z
Zn1 0.000 0.000 0.000
Cu1 0.124 0.000 0.374
Cu2 0.124 0.500 0.876
Pt1 0.000 0.500 0.500
Pt2 0.249 0.500 0.250
```

DOS(E_F): 7.42 states/eV per cell
energy of formation from the pure elements: -1.66 eV/f.u.
DFT total energy: -4.68 eV per atom
total moment: 0.00 μB per atom

---

Entry 4:
ZnCu2Pt | GGA-PBE | optimized geometry

Geometry as CIF:
```
data_ZnCu2Pt
_symmetry_space_group_name_H-M 'I -4 2 d'
_symmetry_Int_Tables_number 122
_symmetry_space_group_name_Hall 'I -4 2bw'
_cell_length_a 3.595
_cell_length_b 3.595
_cell_length_c 18.149
_cell_angle_alpha 90.00
_cell_angle_beta 90.00
_cell_angle_gamma 90.00
loop_
_atom_site_label
_atom_site_fract_x
_atom_site_fract_y
_atom_site_fract_z
Zn1 0.000 0.000 0.000
Cu1 0.249 0.250 0.625
Pt1 0.000 0.000 0.500
```

DOS(E_F): 4.74 states/eV per cell
energy of formation from the pure elements: -0.02 eV/f.u.
DFT total energy: -3.88 eV per atom
total moment: 0.00 μB per atom

---

Entry 5:
Zn2Cu4Pt | GGA-PBE | optimized geometry

Geometry as CIF:
```
data_Zn2Cu4Pt
_symmetry_space_group_name_H-M 'I 4/m m m'
_symmetry_Int_Tables_number 139
_symmetry_space_group_name_Hall '-I 4 2'
_cell_length_a 4.696
_cell_length_b 4.696
_cell_length_c 12.237
_cell_angle_alpha 90.00
_cell_angle_beta 90.00
_cell_angle_gamma 90.00
loop_
_atom_site_label
_atom_site_fract_x
_atom_site_fract_y
_atom_site_fract_z
Zn1 0.000 0.000 0.106
Cu1 0.000 0.000 0.298
Cu2 0.000 0.500 0.000
Pt1 0.000 0.000 0.500
```

DOS(E_F): 5.58 states/eV per cell
energy of formation from the pure elements: 4.09 eV/f.u.
DFT total energy: -2.98 eV per atom
total moment: 0.00 μB per atom

---

Entry 6:
Zn3CuPt4 | GGA-PBE | optimized geometry

Geometry as CIF:
```
data_Zn3CuPt4
_symmetry_space_group_name_H-M 'C 1 2/m 1'
_symmetry_Int_Tables_number 12
_symmetry_space_group_name_Hall '-C 2y'
_cell_length_a 14.515
_cell_length_b 4.073
_cell_length_c 4.074
_cell_angle_alpha 90.00
_cell_angle_beta 106.20
_cell_angle_gamma 90.00
loop_
_atom_site_label
_atom_site_fract_x
_atom_site_fract_y
_atom_site_fract_z
Zn1 0.000 0.000 0.000
Zn2 0.249 0.500 0.749
Cu1 0.000 0.500 0.500
Pt1 0.125 0.000 0.625
Pt2 0.125 0.500 0.125
```

DOS(E_F): 5.29 states/eV per cell
energy of formation from the pure elements: -3.86 eV/f.u.
DFT total energy: -4.49 eV per atom
total moment: 0.00 μB per atom

---

Entry 7:
Zn2Cu3Pt | GGA-PBE | optimized geometry

Geometry as CIF:
```
data_Zn2Cu3Pt
_symmetry_space_group_name_H-M 'C 1 2/c 1'
_symmetry_Int_Tables_number 15
_symmetry_space_group_name_Hall '-C 2yc'
_cell_length_a 6.786
_cell_length_b 7.401
_cell_length_c 6.576
_cell_angle_alpha 90.00
_cell_angle_beta 100.63
_cell_angle_gamma 90.00
loop_
_atom_site_label
_atom_site_fract_x
_atom_site_fract_y
_atom_site_fract_z
Zn1 0.124 0.247 0.125
Cu1 0.000 0.431 0.750
Cu2 0.239 0.412 0.502
Pt1 0.000 0.090 0.750
```

DOS(E_F): 7.86 states/eV per cell
energy of formation from the pure elements: -0.77 eV/f.u.
DFT total energy: -3.61 eV per atom
total moment: 0.00 μB per atom

---

Entry 8:
Zn2Cu2Pt | GGA-PBE | optimized geometry

Geometry as CIF:
```
data_Zn2Cu2Pt
_symmetry_space_group_name_H-M 'P 4/m b m'
_symmetry_Int_Tables_number 127
_symmetry_space_group_name_Hall '-P 4 2ab'
_cell_length_a 6.945
_cell_length_b 6.945
_cell_length_c 2.829
_cell_angle_alpha 90.00
_cell_angle_beta 90.00
_cell_angle_gamma 90.00
loop_
_atom_site_label
_atom_site_fract_x
_atom_site_fract_y
_atom_site_fract_z
Zn1 0.137 0.363 0.000
Cu1 0.161 0.661 0.500
Pt1 0.000 0.000 0.000
```

DOS(E_F): 3.63 states/eV per cell
energy of formation from the pure elements: -0.62 eV/f.u.
DFT total energy: -3.48 eV per atom
total moment: 0.00 μB per atom

---

Entry 9:
ZnCu2Pt | GGA-PBE | optimized geometry

Geometry as CIF:
```
data_ZnCu2Pt
_symmetry_space_group_name_H-M 'P 1 21/m 1'
_symmetry_Int_Tables_number 11
_symmetry_space_group_name_Hall '-P 2yb'
_cell_length_a 5.308
_cell_length_b 3.824
_cell_length_c 5.312
_cell_angle_alpha 90.00
_cell_angle_beta 91.33
_cell_angle_gamma 90.00
loop_
_atom_site_label
_atom_site_fract_x
_atom_site_fract_y
_atom_site_fract_z
Zn1 0.140 0.250 0.366
Cu1 0.116 0.250 0.884
Cu2 0.378 0.750 0.123
Pt1 0.353 0.750 0.635
```

DOS(E_F): 2.30 states/eV per cell
energy of formation from the pure elements: -1.00 eV/f.u.
DFT total energy: -4.13 eV per atom
total moment: 0.00 μB per atom

---

Entry 10:
ZnCu2Pt | GGA-PBE | optimized geometry

Geometry as CIF:
```
data_ZnCu2Pt
_symmetry_space_group_name_H-M 'I 4/m m m'
_symmetry_Int_Tables_number 139
_symmetry_space_group_name_Hall '-I 4 2'
_cell_length_a 3.758
_cell_length_b 3.758
_cell_length_c 7.631
_cell_angle_alpha 90.00
_cell_angle_beta 90.00
_cell_angle_gamma 90.00
loop_
_atom_site_label
_atom_site_fract_x
_atom_site_fract_y
_atom_site_fract_z
Zn1 0.000 0.000 0.000
Cu1 0.000 0.500 0.250
Pt1 0.000 0.000 0.500
```

DOS(E_F): 2.48 states/eV per cell
energy of formation from the pure elements: -0.99 eV/f.u.
DFT total energy: -4.12 eV per atom
total moment: 0.00 μB per atom

---

Entry 11:
ZnCu3Pt | GGA-PBE | optimized geometry

Geometry as CIF:
```
data_ZnCu3Pt
_symmetry_space_group_name_H-M 'C 1 2/m 1'
_symmetry_Int_Tables_number 12
_symmetry_space_group_name_Hall '-C 2y'
_cell_length_a 8.317
_cell_length_b 3.758
_cell_length_c 8.440
_cell_angle_alpha 90.00
_cell_angle_beta 90.40
_cell_angle_gamma 90.00
loop_
_atom_site_label
_atom_site_fract_x
_atom_site_fract_y
_atom_site_fract_z
Zn1 0.049 0.000 0.153
Cu1 0.053 0.500 0.642
Cu2 0.147 0.000 0.454
Cu3 0.147 0.500 0.949
Pt1 0.247 0.500 0.251
```

DOS(E_F): 7.37 states/eV per cell
energy of formation from the pure elements: -0.93 eV/f.u.
DFT total energy: -4.11 eV per atom
total moment: 0.00 μB per atom

---

Entry 12:
ZnCuPt | GGA-PBE | optimized geometry

Geometry as CIF:
```
data_ZnCuPt
_symmetry_space_group_name_H-M 'F -4 3 m'
_symmetry_Int_Tables_number 216
_symmetry_space_group_name_Hall 'F -4 2 3'
_cell_length_a 5.891
_cell_length_b 5.891
_cell_length_c 5.891
_cell_angle_alpha 90.00
_cell_angle_beta 90.00
_cell_angle_gamma 90.00
loop_
_atom_site_label
_atom_site_fract_x
_atom_site_fract_y
_atom_site_fract_z
Zn1 0.000 0.000 0.000
Cu1 0.000 0.000 0.500
Pt1 0.250 0.250 0.250
```

DOS(E_F): 4.37 states/eV per cell
energy of formation from the pure elements: -0.25 eV/f.u.
DFT total energy: -3.89 eV per atom
total moment: 0.00 μB per atom

---

Please write out number 5 again, unchanged.
Zn2Cu4Pt | GGA-PBE | optimized geometry

Geometry as CIF:
```
data_Zn2Cu4Pt
_symmetry_space_group_name_H-M 'I 4/m m m'
_symmetry_Int_Tables_number 139
_symmetry_space_group_name_Hall '-I 4 2'
_cell_length_a 4.696
_cell_length_b 4.696
_cell_length_c 12.237
_cell_angle_alpha 90.00
_cell_angle_beta 90.00
_cell_angle_gamma 90.00
loop_
_atom_site_label
_atom_site_fract_x
_atom_site_fract_y
_atom_site_fract_z
Zn1 0.000 0.000 0.106
Cu1 0.000 0.000 0.298
Cu2 0.000 0.500 0.000
Pt1 0.000 0.000 0.500
```

DOS(E_F): 5.58 states/eV per cell
energy of formation from the pure elements: 4.09 eV/f.u.
DFT total energy: -2.98 eV per atom
total moment: 0.00 μB per atom

---

What is the formula in the ninth record?
ZnCu2Pt

---

Which value of DOS(E_F) does entry 5 give?
5.58 states/eV per cell